1.
Rb3NdY2Se6 | PBE | optimized geometry

Cell: 7.4313 7.4313 8.3790 Å, 98.51 98.51 120.01°
Last column: nearest neighbours and their distance in Å.
Sites, in units of the cell vectors:
Rb  0.0000  0.0000  0.0000  6 Se 3.43-3.48
Rb  0.3347  0.6653  0.0000  6 Se 3.43-3.48
Rb  0.6653  0.3347  0.0000  6 Se 3.43-3.48
Nd  0.5000  0.5000  0.5000  6 Se 2.98-2.99
Y  0.1668  0.8332  0.5000  6 Se 2.92
Y  0.8332  0.1668  0.5000  6 Se 2.92
Se  0.0932  0.4340  0.3022  2 Y 2.92, 1 Nd 2.99
Se  0.2250  0.2250  0.6974  2 Y 2.92, 1 Nd 2.98
Se  0.4340  0.0932  0.3022  2 Y 2.92, 1 Nd 2.99
Se  0.5660  0.9068  0.6978  2 Y 2.92, 1 Nd 2.99
Se  0.7750  0.7750  0.3026  2 Y 2.92, 1 Nd 2.98
Se  0.9068  0.5660  0.6978  2 Y 2.92, 1 Nd 2.99

## Properties
total magnetic moment = 0.0 Bohr magnetons per cell
formation energy without anion corrections = -2017 kJ/mol of formula units


2.
Ca2La3YTe6 | PBE | optimized geometry

Cell: 7.7838 7.7838 7.8975 Å, 99.47 99.47 120.02°
Last column: nearest neighbours and their distance in Å.
Sites, in units of the cell vectors:
Ca  0.1660  0.8340  0.0000  6 Te 3.14-3.16
Ca  0.8340  0.1660  0.0000  6 Te 3.14-3.16
La  0.0000  0.0000  0.5000  6 Te 3.25-3.26
La  0.3297  0.6703  0.5000  6 Te 3.24-3.26
La  0.6703  0.3297  0.5000  6 Te 3.24-3.26
Y  0.5000  0.5000  0.0000  6 Te 3.11-3.13
Te  0.0911  0.4216  0.7647  1 Y 3.11, 2 Ca 3.14-3.15, 3 La 3.24-3.25
Te  0.2502  0.2502  0.2407  1 Y 3.13, 2 Ca 3.16, 3 La 3.26
Te  0.4216  0.0911  0.7647  1 Y 3.11, 2 Ca 3.14-3.15, 3 La 3.24-3.25
Te  0.5784  0.9089  0.2353  1 Y 3.11, 2 Ca 3.14-3.15, 3 La 3.24-3.25
Te  0.7498  0.7498  0.7593  1 Y 3.13, 2 Ca 3.16, 3 La 3.26
Te  0.9089  0.5784  0.2353  1 Y 3.11, 2 Ca 3.14-3.15, 3 La 3.24-3.25

## Properties
total magnetic moment = 0.0 Bohr magnetons per cell
formation energy without anion corrections = -1785 kJ/mol of formula units


| no. | mass density (g/cm3) |
| --- | --- |
| 1 | 4.565 |
| 2 | 5.735 |